Entry 1:
# Pu2IrF (PBE, optimized geometry)
data_Pu2IrF
_cell_length_a 3.9697
_cell_length_b 3.9697
_cell_length_c 18.8509
_cell_angle_alpha 90.00
_cell_angle_beta 90.00
_cell_angle_gamma 120.00
_symmetry_space_group_name_H-M 'R -3 m'
_symmetry_Int_Tables_number 166
_symmetry_space_group_name_Hall '-R 3 2"'
loop_
_atom_site_label
_atom_site_type_symbol
_atom_site_fract_x
_atom_site_fract_y
_atom_site_fract_z
Pu1 Pu 0.0000 0.0000 0.2503
Ir1 Ir 0.0000 0.0000 0.5000
F1 F 0.0000 0.0000 0.0000
# mass density	13.5	g cm⁻³
# formation energy from raw total energies	-1.228	eV/atom

---

Entry 2:
# MgGaCoCu (PBE, optimized geometry)
data_MgGaCoCu
_cell_length_a 5.978
_cell_length_b 5.978
_cell_length_c 5.978
_cell_angle_alpha 90.00
_cell_angle_beta 90.00
_cell_angle_gamma 90.00
_symmetry_space_group_name_H-M 'F -4 3 m'
_symmetry_Int_Tables_number 216
_symmetry_space_group_name_Hall 'F -4 2 3'
loop_
_atom_site_label
_atom_site_type_symbol
_atom_site_fract_x
_atom_site_fract_y
_atom_site_fract_z
Mg1 Mg 0.000 0.000 0.000
Ga1 Ga 0.000 0.000 0.500
Co1 Co 0.250 0.250 0.250
Cu1 Cu 0.250 0.250 0.750
# energy of formation	-105	meV per atom
# mass density	6.7	g cm⁻³

---

Entry 3:
# RbBaSr2C (PBE, optimized geometry)
data_RbBaSr2C
_cell_length_a 6.540
_cell_length_b 6.540
_cell_length_c 6.539
_cell_angle_alpha 90.00
_cell_angle_beta 90.00
_cell_angle_gamma 90.00
_symmetry_space_group_name_H-M 'P 4/m m m'
_symmetry_Int_Tables_number 123
_symmetry_space_group_name_Hall '-P 4 2'
loop_
_atom_site_label
_atom_site_type_symbol
_atom_site_fract_x
_atom_site_fract_y
_atom_site_fract_z
Rb1 Rb 0.000 0.000 0.000
Ba1 Ba 0.000 0.000 0.500
Sr1 Sr 0.000 0.500 0.000
C1 C 0.500 0.500 0.500
# energy of formation	2199	meV per atom
# mass density	2.4	g cm⁻³

---

Entry 4:
# LiScCu2 (PBE, optimized geometry)
data_LiScCu2
_cell_length_a 6.189
_cell_length_b 6.189
_cell_length_c 6.189
_cell_angle_alpha 90.00
_cell_angle_beta 90.00
_cell_angle_gamma 90.00
_symmetry_space_group_name_H-M 'F -4 3 m'
_symmetry_Int_Tables_number 216
_symmetry_space_group_name_Hall 'F -4 2 3'
loop_
_atom_site_label
_atom_site_type_symbol
_atom_site_fract_x
_atom_site_fract_y
_atom_site_fract_z
Li1 Li 0.000 0.000 0.000
Sc1 Sc 0.250 0.250 0.250
Cu1 Cu 0.000 0.000 0.500
Cu2 Cu 0.250 0.250 0.750
# energy of formation	-58	meV per atom
# mass density	5.0	g cm⁻³

---

> Which of these has the highest mass density?

Pu2IrF